Below is a geometry-optimized Ba2CrP2 structure, with properties calculated at the PBE level.

Structure (CIF):
```
data_Ba2CrP2
_cell_length_a 6.5986
_cell_length_b 6.5986
_cell_length_c 5.2773
_cell_angle_alpha 90.00
_cell_angle_beta 90.00
_cell_angle_gamma 90.00
_symmetry_space_group_name_H-M 'P 4/m b m'
_symmetry_Int_Tables_number 127
_symmetry_space_group_name_Hall '-P 4 2ab'
loop_
_atom_site_label
_atom_site_type_symbol
_atom_site_fract_x
_atom_site_fract_y
_atom_site_fract_z
_atom_site_occupancy
Ba1 Ba 0.1783 0.3217 0.0000 1
Cr1 Cr 0.0000 0.0000 0.5000 1
P1 P 0.1432 0.6432 0.5000 1
```

Properties
E_form in meV/atom: -119
Mass density in g/cm3: 5.6